PBE-GGA ZnCoAgPb2, optimized geometry; ΔH_f (0 K) = 304.0 meV per atom
1.0
-2.5401 -3.9629 -1.7173
4.0036 -2.4615 -0.2415
-0.6949 -1.5914 4.7000
Pb Ag Co Zn
2 1 1 1
Cartesian
-0.3474 -0.7957 2.3500 Pb
-1.2700 -1.9814 -0.8587 Pb
0.3843 -4.0079 1.3706 Ag
0.0000 0.0000 0.0000 Co
2.0018 -1.2307 -0.1208 Zn